Cd2FePd | PBE | optimized geometry

Output
Energy of formation (kJ/mol of formula units): 129.0
SG: I-42d
E (eV for the cell shown): -28.3

Unit cell a=7.3773 b=7.3773 c=5.9007 alpha=51.31 beta=51.31 gamma=90.00
Last column: nearest neighbours and their distance in Å.
Fractional positions:
1 Fe 0.5000 0.5000 0.0000  4 Cd 2.67, 2 Pd 2.76
2 Fe 0.2500 0.7500 0.5000  4 Cd 2.67, 2 Pd 2.76
3 Pd 0.0000 0.0000 0.0000  4 Cd 2.72, 2 Fe 2.76
4 Pd 0.7500 0.2500 0.5000  4 Cd 2.72, 2 Fe 2.76
5 Cd 0.6198 0.1250 0.2500  2 Fe 2.67, 2 Pd 2.72, 2 Cd 2.76
6 Cd 0.1302 0.6250 0.2500  2 Fe 2.67, 2 Pd 2.72, 2 Cd 2.76
7 Cd 0.3750 0.3802 0.7500  2 Fe 2.67, 2 Pd 2.72, 2 Cd 2.76
8 Cd 0.8750 0.8698 0.7500  2 Fe 2.67, 2 Pd 2.72, 2 Cd 2.76


Ce6PuIr4 | PBE | optimized geometry

Output
Energy of formation (kJ/mol of formula units): -453.9
SG: I-42m
E (eV for the cell shown): -90.1

Unit cell a=7.3817 b=7.3817 c=7.3817 alpha=91.68 beta=119.03 gamma=119.03
Last column: nearest neighbours and their distance in Å.
Fractional positions:
1 Ce 0.0000 0.8502 0.5618  2 Ir 2.77-2.90, 1 Ce 3.05
2 Ce 0.0000 0.5618 0.8502  2 Ir 2.77-2.90, 1 Ce 3.05
3 Ce 0.7117 0.1498 0.1498  2 Ir 2.77-2.90, 1 Ce 3.05
4 Ce 0.5000 0.0000 0.5000  4 Ir 2.76
5 Ce 0.2883 0.4382 0.4382  2 Ir 2.77-2.90, 1 Ce 3.05
6 Ce 0.5000 0.5000 0.0000  4 Ir 2.76
7 Pu 0.0000 0.0000 0.0000  4 Ir 3.08, 4 Ce 3.39
8 Ir 0.0000 0.2176 0.6505  4 Ce 2.76-2.90, 1 Pu 3.08
9 Ir 0.5671 0.3495 0.3495  4 Ce 2.76-2.90, 1 Pu 3.08
10 Ir 0.0000 0.6505 0.2176  4 Ce 2.76-2.90, 1 Pu 3.08
11 Ir 0.4329 0.7824 0.7824  4 Ce 2.76-2.90, 1 Pu 3.08


Sm4GaTe | PBE | optimized geometry

Output
Formation energy from raw total energies (eV/atom): -0.630
E above lowest polymorph (meV per atom): 20
SG: Pnma
E (eV for the cell shown): -115.3

Unit cell a=4.6071 b=7.5994 c=20.5492 alpha=90.00 beta=90.00 gamma=90.00
Last column: nearest neighbours and their distance in Å.
Fractional positions:
1 Sm 0.7500 0.9070 0.6385  2 Ga 3.05, 2 Te 3.19-3.24
2 Sm 0.2500 0.0930 0.3615  2 Ga 3.05, 2 Te 3.19-3.24
3 Sm 0.2500 0.5930 0.1385  2 Ga 3.05, 2 Te 3.19-3.24
4 Sm 0.7500 0.4070 0.8615  2 Ga 3.05, 2 Te 3.19-3.24
5 Sm 0.7500 0.8583 0.4638  3 Ga 3.21-3.28, 6 Sm 3.44-3.59
6 Sm 0.2500 0.1417 0.5362  3 Ga 3.21-3.28, 6 Sm 3.44-3.59
7 Sm 0.2500 0.6417 0.9638  3 Ga 3.21-3.28, 6 Sm 3.44-3.59
8 Sm 0.7500 0.3583 0.0362  3 Ga 3.21-3.28, 6 Sm 3.44-3.59
9 Sm 0.7500 0.9655 0.9292  3 Ga 3.05-3.19, 1 Te 3.22
10 Sm 0.2500 0.0345 0.0708  3 Ga 3.05-3.19, 1 Te 3.22
11 Sm 0.2500 0.5345 0.4292  3 Ga 3.05-3.19, 1 Te 3.22
12 Sm 0.7500 0.4655 0.5708  3 Ga 3.05-3.19, 1 Te 3.22
13 Sm 0.7500 0.9283 0.2115  1 Ga 3.20, 4 Te 3.21
14 Sm 0.2500 0.0717 0.7885  1 Ga 3.20, 4 Te 3.21
15 Sm 0.2500 0.5717 0.7115  1 Ga 3.20, 4 Te 3.21
16 Sm 0.7500 0.4283 0.2885  1 Ga 3.20, 4 Te 3.21
17 Ga 0.7500 0.2723 0.4332  9 Sm 3.05-3.28
18 Ga 0.2500 0.7277 0.5668  9 Sm 3.05-3.28
19 Ga 0.2500 0.2277 0.9332  9 Sm 3.05-3.28
20 Ga 0.7500 0.7723 0.0668  9 Sm 3.05-3.28
21 Te 0.7500 0.7778 0.7890  7 Sm 3.19-3.24
22 Te 0.2500 0.2222 0.2110  7 Sm 3.19-3.24
23 Te 0.2500 0.7222 0.2890  7 Sm 3.19-3.24
24 Te 0.7500 0.2778 0.7110  7 Sm 3.19-3.24


CaRhF | PBE | optimized geometry

Output
Formation energy from raw total energies (eV/atom): -1.900
E above lowest polymorph (meV per atom): 19
SG: P1
E (eV for the cell shown): -33.8

Unit cell a=8.6081 b=3.6380 c=3.6644 alpha=90.00 beta=115.26 gamma=90.12
Last column: nearest neighbours and their distance in Å.
Fractional positions:
1 Ca 0.6959 0.9093 0.7252  4 F 2.30
2 Ca 0.0564 0.4112 0.5865  4 F 2.30
3 Rh 0.4126 0.4083 0.9414  4 Rh 2.64-2.65, 1 Ca 2.77
4 Rh 0.3397 0.9089 0.3694  4 Rh 2.64-2.65, 1 Ca 2.77
5 F 0.8773 0.4103 0.9070  4 Ca 2.30
6 F 0.8751 0.9104 0.4048  4 Ca 2.30


CeNdSb2 | PBE | optimized geometry

Output
Formation energy from raw total energies (eV/atom): -1.118
E above lowest polymorph (meV per atom): 3
SG: I4_1/amd
E (eV for the cell shown): -46.8

Unit cell a=6.3810 b=6.3810 c=7.8147 alpha=114.10 beta=114.10 gamma=90.00
Last column: nearest neighbours and their distance in Å.
Fractional positions:
1 Ce 0.5000 0.5000 0.0000  6 Sb 3.17-3.19
2 Ce 0.2500 0.7500 0.5000  6 Sb 3.17-3.19
3 Nd 0.7500 0.2500 0.5000  6 Sb 3.19-3.21
4 Nd 0.0000 0.0000 0.0000  6 Sb 3.19-3.21
5 Sb 0.7483 0.7483 0.4967  3 Ce 3.17-3.19, 3 Nd 3.19-3.21
6 Sb 0.4983 0.9983 0.9967  3 Ce 3.17-3.19, 3 Nd 3.19-3.21
7 Sb 0.2517 0.2517 0.5033  3 Ce 3.17-3.19, 3 Nd 3.19-3.21
8 Sb 0.0017 0.5017 0.0033  3 Ce 3.17-3.19, 3 Nd 3.19-3.21


EuSi2Tc | PBE | optimized geometry

Output
Formation energy from raw total energies (eV/atom): -0.411
E above lowest polymorph (meV per atom): 14
SG: P4/mmm
E (eV for the cell shown): -33.1

Unit cell a=3.1440 b=3.1440 c=7.0368 alpha=90.00 beta=90.00 gamma=90.00
Last column: nearest neighbours and their distance in Å.
Fractional positions:
1 Eu 0.5000 0.5000 0.5000  8 Si 3.14, 4 Eu 3.14
2 Si 0.0000 0.0000 0.8146  4 Tc 2.58, 1 Si 2.61
3 Si 0.0000 0.0000 0.1854  4 Tc 2.58, 1 Si 2.61
4 Tc 0.5000 0.5000 0.0000  8 Si 2.58


Y3Se2S2 | PBE | optimized geometry

Output
Formation energy from raw total energies (eV/atom): -1.988
E above lowest polymorph (meV per atom): 6
SG: C2/m
E (eV for the cell shown): -48.5

Unit cell a=4.0531 b=6.9527 c=7.0304 alpha=103.12 beta=106.75 gamma=90.00
Last column: nearest neighbours and their distance in Å.
Fractional positions:
1 Y 0.0000 0.0000 0.0000  2 S 2.72, 4 Se 2.89
2 Y 0.7544 0.2621 0.5088  3 S 2.71-2.74, 3 Se 2.91-2.94
3 Y 0.2456 0.7379 0.4912  3 S 2.71-2.74, 3 Se 2.91-2.94
4 Se 0.6192 0.8622 0.2384  5 Y 2.89-2.94
5 Se 0.3808 0.1378 0.7616  5 Y 2.89-2.94
6 S 0.8624 0.6435 0.7249  4 Y 2.71-2.74
7 S 0.1376 0.3565 0.2751  4 Y 2.71-2.74


LiTiPO5 | PBE | optimized geometry

Output
Formation energy from raw total energies (eV/atom): -2.609
E above lowest polymorph (meV per atom): 0
SG: Pnma
E (eV for the cell shown): -243.5

Unit cell a=6.4412 b=7.3385 c=7.4952 alpha=90.00 beta=90.00 gamma=90.00
Last column: nearest neighbours and their distance in Å.
Fractional positions:
1 Li 0.0000 0.0000 0.0000  6 O 2.10-2.24
2 Li 0.5000 0.5000 0.5000  6 O 2.10-2.24
3 Li 0.0000 0.5000 0.5000  6 O 2.10-2.24
4 Li 0.5000 0.0000 0.0000  6 O 2.10-2.24
5 Ti 0.7500 0.2809 0.8332  2 O 1.73-1.92
6 Ti 0.2500 0.7191 0.1668  2 O 1.73-1.92
7 Ti 0.2500 0.7809 0.6668  2 O 1.73-1.92
8 Ti 0.7500 0.2191 0.3332  2 O 1.73-1.92
9 P 0.2500 0.3745 0.8738  4 O 1.55-1.56
10 P 0.7500 0.6255 0.1262  4 O 1.55-1.56
11 P 0.7500 0.8745 0.6262  4 O 1.55-1.56
12 P 0.2500 0.1255 0.3738  4 O 1.55-1.56
13 O 0.9434 0.7498 0.6286  1 P 1.55
14 O 0.5566 0.7502 0.1286  1 P 1.55
15 O 0.0566 0.2498 0.8714  1 P 1.55
16 O 0.4434 0.2502 0.3714  1 P 1.55
17 O 0.0566 0.2502 0.3714  1 P 1.55
18 O 0.5566 0.7498 0.6286  1 P 1.55
19 O 0.9434 0.7502 0.1286  1 P 1.55
20 O 0.4434 0.2498 0.8714  1 P 1.55
21 O 0.7500 0.1523 0.1119  1 Ti 1.73
22 O 0.2500 0.8477 0.8881  1 Ti 1.73
23 O 0.2500 0.6523 0.3881  1 Ti 1.73
24 O 0.7500 0.3477 0.6119  1 Ti 1.73
25 O 0.7500 0.0013 0.7931  1 P 1.56
26 O 0.2500 0.9987 0.2069  1 P 1.56
27 O 0.2500 0.5013 0.7069  1 P 1.56
28 O 0.7500 0.4987 0.2931  1 P 1.56
29 O 0.2500 0.4879 0.0475  1 P 1.55
30 O 0.7500 0.5121 0.9525  1 P 1.55
31 O 0.7500 0.9879 0.4525  1 P 1.55
32 O 0.2500 0.0121 0.5475  1 P 1.55